Density functional theory data (PBE) for an optimized crystal structure of MgTaGe2Br.

a b c (Å): 4.9853 4.9853 5.8766
angles (deg): 90.00 90.00 90.00
With the nearest neighbours (Å) after each atom.
Space group P4/mmm (No. 123)
One atom of each set of equivalent atoms:
Mg: 0.0000 0.0000 0.0000 (multiplicity 1)  2 Ta 2.94
Ta: 0.0000 0.0000 0.5000 (multiplicity 1)  4 Ge 2.49
Ge: 0.0000 0.5000 0.5000 (multiplicity 2)  2 Ta 2.49
Br: 0.5000 0.5000 0.0000 (multiplicity 1)  4 Mg 3.53, 8 Ge 3.85

Output
Its energy above the most stable polymorph in this dataset is 164.7 meV/atom.



Density functional theory data (PBE) for an optimized crystal structure of MgTaGe2Br.

a b c (Å): 5.1236 5.1236 5.0833
angles (deg): 90.00 90.00 90.00
With the nearest neighbours (Å) after each atom.
Space group P4/mmm (No. 123)
One atom of each set of equivalent atoms:
Mg: 0.0000 0.0000 0.0000 (multiplicity 1)  8 Ge 3.61, 4 Br 3.62
Ta: 0.5000 0.5000 0.5000 (multiplicity 1)  2 Br 2.54, 4 Ge 2.56
Ge: 0.0000 0.5000 0.5000 (multiplicity 2)  2 Ta 2.56
Br: 0.5000 0.5000 0.0000 (multiplicity 1)  2 Ta 2.54

Output
Its energy above the most stable polymorph in this dataset is 0.0 meV/atom.



Density functional theory data (PBE) for an optimized crystal structure of MgTl2GeBr6.

a b c (Å): 7.4946 7.7725 13.1385
angles (deg): 90.00 124.72 90.00
With the nearest neighbours (Å) after each atom.
Space group P2_1/c (No. 14)
One atom of each set of equivalent atoms:
Mg: 0.0000 0.0000 0.0000 (multiplicity 2)  6 Br 2.71-2.73
Tl: 0.2703 0.0696 0.7498 (multiplicity 4)  8 Br 3.35-3.69
Ge: 0.5000 0.0000 0.5000 (multiplicity 2)  6 Br 2.83-2.84
Br: 0.1639 0.0098 0.2445 (multiplicity 4)  1 Mg 2.71, 1 Ge 2.83
Br: 0.2348 0.7090 0.0393 (multiplicity 4)  1 Mg 2.73, 1 Ge 2.83
Br: 0.3330 0.1976 0.0392 (multiplicity 4)  1 Mg 2.72, 1 Ge 2.84



Formation energy without anion corrections across the listed records, respectively: 0.527, 0.362, -0.930 eV/atom.
E_tot across the listed records, respectively: -4.344, -4.509, -3.028 eV per atom.